## MgSc2Ag2 (GGA-PBE)

Data for crystalline MgSc2Ag2 at its relaxed geometry.

Computed properties:
* energy relative to the elements: 0.116 eV/atom
* V: 22.84 Å³ per atom
* magnetic moment: 0.000 μB per cell

abc: 8.2640 8.2640 8.2640
angles: 153.24 153.24 38.20
Fractional positions:
Mg (0.0000, 0.0000, 0.0000)
Sc (0.3962, 0.3962, 0.0000)
Sc (0.6038, 0.6038, 0.0000)
Ag (0.2500, 0.7500, 0.5000)
Ag (0.7500, 0.2500, 0.5000)